Below is a geometry-optimized PrZnIn structure, with properties calculated at the PBE-GGA level.

Cell lengths 4.7590, 4.7590, 7.6694 Å; angles 90.00, 90.00, 120.00 degrees
Space group P6_3mc (No. 186)
Asymmetric unit:
Pr 0.0000 0.0000 0.0000 (multiplicity 2)
Zn 0.3333 0.6667 0.2964 (multiplicity 2)
In 0.3333 0.6667 0.7262 (multiplicity 2)

## Properties
raw total energy = -3.40 eV per atom
magnetic moment = 0.0003 μB per atom
crystal system = hexagonal

=====

Below is a geometry-optimized NaTlAg structure, with properties calculated at the PBE-GGA level.

Cell lengths 6.9286, 6.9286, 6.9286 Å; angles 90.00, 90.00, 90.00 degrees
Space group F-43m (No. 216)
Asymmetric unit:
Na 0.0000 0.0000 0.0000 (multiplicity 4)
Tl 0.2500 0.2500 0.7500 (multiplicity 4)
Ag 0.0000 0.0000 0.5000 (multiplicity 4)

## Properties
raw total energy = -2.04 eV per atom
crystal system = cubic

=====

Below is a geometry-optimized Co4C3 structure, with properties calculated at the PBE-GGA level.

Cell lengths 2.9621, 2.9621, 23.9604 Å; angles 90.00, 90.00, 120.00 degrees
Space group R-3m (No. 166, hexagonal axes)
Asymmetric unit:
Co 0.0000 0.0000 0.1231 (multiplicity 6)
Co 0.0000 0.0000 0.2932 (multiplicity 6)
C 0.0000 0.0000 0.0000 (multiplicity 3)
C 0.0000 0.0000 0.4312 (multiplicity 6)

## Properties
raw total energy = -7.55 eV per atom
magnetic moment = 0.0011 μB per atom
crystal system = trigonal

=====

Below is a geometry-optimized LaTc2O4 structure, with properties calculated at the PBE-GGA level.

Cell lengths 9.1242, 9.1242, 9.1242 Å; angles 90.00, 90.00, 90.00 degrees
Space group Fd-3m (No. 227, origin choice 2)
Asymmetric unit:
La 0.1250 0.1250 0.1250 (multiplicity 8)
Tc 0.0000 0.0000 0.5000 (multiplicity 16)
O 0.0189 0.0189 0.7311 (multiplicity 32)

## Properties
raw total energy = -8.02 eV per atom
magnetic moment = 0.4286 μB per atom
crystal system = cubic

=====

Below is a geometry-optimized Y2HoP3 structure, with properties calculated at the PBE-GGA level.

Cell lengths 4.0033, 4.0033, 9.8137 Å; angles 90.00, 90.00, 120.00 degrees
Space group P-3m1 (No. 164)
Asymmetric unit:
Y 0.3333 0.6667 0.3331 (multiplicity 2)
Ho 0.0000 0.0000 0.0000 (multiplicity 1)
P 0.0000 0.0000 0.5000 (multiplicity 1)
P 0.3333 0.6667 0.8344 (multiplicity 2)

## Properties
raw total energy = -7.25 eV per atom
magnetic moment = 0.0002 μB per atom
crystal system = trigonal

=====

Below is a geometry-optimized HoInGa4Ir structure, with properties calculated at the PBE-GGA level.

Cell lengths 4.4364, 4.4364, 6.8634 Å; angles 90.00, 90.00, 90.00 degrees
Space group P4/mmm (No. 123)
Asymmetric unit:
Ho 0.0000 0.0000 0.0000 (multiplicity 1)
In 0.5000 0.5000 0.0000 (multiplicity 1)
Ga 0.0000 0.5000 0.3065 (multiplicity 4)
Ir 0.0000 0.0000 0.5000 (multiplicity 1)

## Properties
raw total energy = -4.56 eV per atom
magnetic moment = 0.0006 μB per atom
crystal system = tetragonal

=====

Below is a geometry-optimized KLuSn structure, with properties calculated at the PBE-GGA level.

Cell lengths 7.6302, 7.6302, 7.6302 Å; angles 90.00, 90.00, 90.00 degrees
Space group F-43m (No. 216)
Asymmetric unit:
K 0.0000 0.0000 0.0000 (multiplicity 4)
Lu 0.0000 0.0000 0.5000 (multiplicity 4)
Sn 0.2500 0.2500 0.2500 (multiplicity 4)

## Properties
raw total energy = -3.20 eV per atom
magnetic moment = 0.0000 μB per atom
crystal system = cubic

=====

Below is a geometry-optimized YMgNb structure, with properties calculated at the PBE-GGA level.

Cell lengths 7.0800, 7.0800, 7.0800 Å; angles 90.00, 90.00, 90.00 degrees
Space group F-43m (No. 216)
Asymmetric unit:
Y 0.0000 0.0000 0.0000 (multiplicity 4)
Mg 0.2500 0.2500 0.7500 (multiplicity 4)
Nb 0.2500 0.2500 0.2500 (multiplicity 4)

## Properties
raw total energy = -4.79 eV per atom
magnetic moment = 1.1608 μB per atom
crystal system = cubic

=====

Below is a geometry-optimized LaTcAsO structure, with properties calculated at the PBE-GGA level.

Cell lengths 4.2379, 4.2379, 9.5863 Å; angles 90.00, 90.00, 90.00 degrees
Space group P4/nmm (No. 129, origin choice 2)
Asymmetric unit:
La 0.2500 0.7500 0.0000 (multiplicity 2)
Tc 0.2500 0.2500 0.4709 (multiplicity 2)
As 0.2500 0.2500 0.2255 (multiplicity 2)
O 0.2500 0.7500 0.5000 (multiplicity 2)

## Properties
raw total energy = -6.39 eV per atom
magnetic moment = 0.3314 μB per atom
crystal system = tetragonal

=====

Below is a geometry-optimized TbTePO structure, with properties calculated at the PBE-GGA level.

Cell lengths 7.0870, 11.4924, 5.0818 Å; angles 90.00, 120.34, 90.00 degrees
Space group Cm (No. 8)
Asymmetric unit:
Tb 0.0000 0.2480 0.0000 (multiplicity 4)
Te 0.1094 0.0000 0.3449 (multiplicity 2)
Te 0.1453 0.5000 0.6734 (multiplicity 2)
P 0.0424 0.5000 0.1193 (multiplicity 2)
P 0.1870 0.0000 0.8817 (multiplicity 2)
O 0.3426 0.2542 0.2634 (multiplicity 4)

## Properties
raw total energy = -5.78 eV per atom
magnetic moment = 0.0003 μB per atom
crystal system = monoclinic

=====

Below is a geometry-optimized SmH2 structure, with properties calculated at the PBE-GGA level.

Cell lengths 6.6642, 6.6642, 6.6642 Å; angles 90.00, 90.00, 90.00 degrees
Space group Fd-3m (No. 227, origin choice 2)
Asymmetric unit:
Sm 0.1250 0.1250 0.1250 (multiplicity 8)
H 0.0000 0.0000 0.5000 (multiplicity 16)

## Properties
raw total energy = -3.20 eV per atom
magnetic moment = 0.2966 μB per atom
crystal system = cubic

=====

Below is a geometry-optimized Pr7NiI12 structure, with properties calculated at the PBE-GGA level.

Cell lengths 16.1526, 16.1526, 11.0220 Å; angles 90.00, 90.00, 120.00 degrees
Space group R-3 (No. 148, hexagonal axes)
Asymmetric unit:
Pr 0.0000 0.0000 0.0000 (multiplicity 3)
Pr 0.0437 0.8850 0.3545 (multiplicity 18)
Ni 0.0000 0.0000 0.5000 (multiplicity 3)
I 0.0207 0.4339 0.1615 (multiplicity 18)
I 0.0512 0.8680 0.8392 (multiplicity 18)

## Properties
raw total energy = -4.11 eV per atom
magnetic moment = 0.0464 μB per atom
crystal system = trigonal

=====

- Among the records above, which one has the highest raw total energy?
  NaTlAg